Record 1
First-principles (PBE) data for a relaxed PmSm2Er3 crystal, as listed in the Alexandria database.

Computed properties:
Offset from the most stable computed form   0.000 eV/atom
Space group   C2/m, No. 12

Unit cell a=11.7268 b=11.7268 c=10.2583 alpha=108.27 beta=108.27 gamma=17.17
Positions (direct):
Pm1 0.1870 0.1870 0.0378
Pm2 0.8130 0.8130 0.9622
Sm1 0.1912 0.1912 0.3725
Sm2 0.4323 0.4323 0.8616
Sm3 0.5677 0.5677 0.1384
Sm4 0.8088 0.8088 0.6275
Er1 0.0586 0.0586 0.4449
Er2 0.1947 0.1947 0.7147
Er3 0.4310 0.4310 0.2390
Er4 0.5690 0.5690 0.7610
Er5 0.8053 0.8053 0.2853
Er6 0.9414 0.9414 0.5551

***

Record 2
First-principles (PBE) data for a relaxed PmSm4Er6 crystal, as listed in the Alexandria database.

Computed properties:
Offset from the most stable computed form   0.000 eV/atom
Space group   I-42m, No. 121

Unit cell a=9.6741 b=9.6741 c=9.6741 alpha=139.98 beta=139.98 gamma=57.89
Positions (direct):
Pm1 0.0000 0.0000 0.0000
Sm1 0.0141 0.6361 0.0000
Sm2 0.3639 0.3639 0.3780
Sm3 0.6361 0.0141 0.0000
Sm4 0.9859 0.9859 0.6220
Er1 0.0000 0.5000 0.5000
Er2 0.1953 0.1953 0.6436
Er3 0.4483 0.8047 0.0000
Er4 0.5000 0.0000 0.5000
Er5 0.5517 0.5517 0.3564
Er6 0.8047 0.4483 0.0000

***

Record 3
First-principles (PBE) data for a relaxed Pm12SmEr3 crystal, as listed in the Alexandria database.

Computed properties:
Space group   P4/mmm, No. 123

Unit cell a=5.1228 b=5.1228 c=20.4408 alpha=90.00 beta=90.00 gamma=90.00
Positions (direct):
Pm1 0.0000 0.0000 0.0000
Pm2 0.0000 0.0000 0.2485
Pm3 0.0000 0.0000 0.5000
Pm4 0.0000 0.0000 0.7515
Pm5 0.0000 0.5000 0.1244
Pm6 0.0000 0.5000 0.3734
Pm7 0.0000 0.5000 0.6266
Pm8 0.0000 0.5000 0.8756
Pm9 0.5000 0.0000 0.1244
Pm10 0.5000 0.0000 0.3734
Pm11 0.5000 0.0000 0.6266
Pm12 0.5000 0.0000 0.8756
Sm1 0.5000 0.5000 0.5000
Er1 0.5000 0.5000 0.0000
Er2 0.5000 0.5000 0.2488
Er3 0.5000 0.5000 0.7512

***

Record 4
First-principles (PBE) data for a relaxed Pm3Sm5Er crystal, as listed in the Alexandria database.

Computed properties:
Space group   C2/m, No. 12

Unit cell a=9.6392 b=9.6392 c=9.9119 alpha=120.66 beta=120.66 gamma=74.38
Positions (direct):
Pm1 0.0000 0.0000 0.0000
Pm2 0.0062 0.0062 0.3170
Pm3 0.4845 0.4845 0.1479
Pm4 0.5000 0.5000 0.5000
Pm5 0.5155 0.5155 0.8521
Pm6 0.9938 0.9938 0.6830
Sm1 0.0953 0.6000 0.7596
Sm2 0.2257 0.2257 0.7302
Sm3 0.2468 0.7532 0.5000
Sm4 0.2749 0.2749 0.4542
Sm5 0.4000 0.9047 0.2404
Sm6 0.6000 0.0953 0.7596
Sm7 0.7251 0.7251 0.5458
Sm8 0.7532 0.2468 0.5000
Sm9 0.7743 0.7743 0.2698
Sm10 0.9047 0.4000 0.2404
Er1 0.2518 0.2518 0.0957
Er2 0.7482 0.7482 0.9043

***

Record 5
First-principles (PBE) data for a relaxed PmSm7Er4 crystal, as listed in the Alexandria database.

Computed properties:
Offset from the most stable computed form   0.212 eV/atom
Space group   C2/m, No. 12

Unit cell a=8.5633 b=8.5633 c=9.3955 alpha=114.95 beta=114.95 gamma=40.65
Positions (direct):
Pm1 0.0000 0.0000 0.0000
Sm1 0.0855 0.0855 0.4503
Sm2 0.2125 0.2125 0.2391
Sm3 0.2152 0.2152 0.8839
Sm4 0.5000 0.5000 0.0000
Sm5 0.7848 0.7848 0.1161
Sm6 0.7875 0.7875 0.7609
Sm7 0.9145 0.9145 0.5497
Er1 0.3301 0.3301 0.6171
Er2 0.4287 0.4287 0.3013
Er3 0.5713 0.5713 0.6987
Er4 0.6699 0.6699 0.3829

***

Record 6
First-principles (PBE) data for a relaxed Pm3Sm3Er2 crystal, as listed in the Alexandria database.

Computed properties:
Offset from the most stable computed form   0.052 eV/atom
Space group   C2/m, No. 12

Unit cell a=8.7467 b=8.7467 c=6.0252 alpha=110.01 beta=110.01 gamma=38.51
Positions (direct):
Pm1 0.0000 0.0000 0.0000
Pm2 0.1345 0.1345 0.6915
Pm3 0.8655 0.8655 0.3085
Sm1 0.3658 0.3658 0.9212
Sm2 0.5000 0.5000 0.5000
Sm3 0.6342 0.6342 0.0788
Er1 0.2500 0.2500 0.3176
Er2 0.7500 0.7500 0.6824

***

Record 7
First-principles (PBE) data for a relaxed Pm2Sm2Er crystal, as listed in the Alexandria database.

Computed properties:
Offset from the most stable computed form   0.000 eV/atom
Space group   C2/c, No. 15

Unit cell a=8.6982 b=8.6982 c=6.8614 alpha=101.21 beta=101.21 gamma=41.52
Positions (direct):
Pm1 0.1426 0.2479 0.0778
Pm2 0.2479 0.1426 0.5778
Pm3 0.7521 0.8574 0.4222
Pm4 0.8574 0.7521 0.9222
Sm1 0.3246 0.4836 0.3535
Sm2 0.4836 0.3246 0.8535
Sm3 0.5164 0.6754 0.1465
Sm4 0.6754 0.5164 0.6465
Er1 0.0725 0.9275 0.7500
Er2 0.9275 0.0725 0.2500

***

Record 8
First-principles (PBE) data for a relaxed Pm2SmEr5 crystal, as listed in the Alexandria database.

Computed properties:
Offset from the most stable computed form   0.154 eV/atom
Space group   C2/c, No. 15

Unit cell a=9.4963 b=9.4963 c=6.4792 alpha=96.84 beta=96.84 gamma=62.50
Positions (direct):
Pm1 0.1682 0.6767 0.8851
Pm2 0.3233 0.8318 0.6149
Pm3 0.6767 0.1682 0.3851
Pm4 0.8318 0.3233 0.1149
Sm1 0.0000 0.5000 0.0000
Sm2 0.5000 0.0000 0.5000
Er1 0.0094 0.1896 0.6436
Er2 0.1896 0.0094 0.1436
Er3 0.2149 0.3926 0.4782
Er4 0.3926 0.2149 0.9782
Er5 0.4425 0.5575 0.2500
Er6 0.5575 0.4425 0.7500
Er7 0.6074 0.7851 0.0218
Er8 0.7851 0.6074 0.5218
Er9 0.8104 0.9906 0.8564
Er10 0.9906 0.8104 0.3564

***

Record 9
First-principles (PBE) data for a relaxed PmSm4Er5 crystal, as listed in the Alexandria database.

Computed properties:
Offset from the most stable computed form   0.000 eV/atom
Space group   P-1, No. 2

Unit cell a=3.5300 b=8.7480 c=11.1246 alpha=90.18 beta=90.03 gamma=101.63
Positions (direct):
Pm1 0.0000 0.0000 0.0000
Sm1 0.1534 0.3103 0.2499
Sm2 0.4691 0.9399 0.2521
Sm3 0.5309 0.0601 0.7479
Sm4 0.8466 0.6897 0.7501
Er1 0.0000 0.0000 0.5000
Er2 0.3264 0.6508 0.0526
Er3 0.3273 0.6536 0.4515
Er4 0.6727 0.3464 0.5485
Er5 0.6736 0.3492 0.9474

***

Record 10
First-principles (PBE) data for a relaxed PmSm6Er3 crystal, as listed in the Alexandria database.

Computed properties:
Offset from the most stable computed form   0.020 eV/atom
Space group   Cmc2_1, No. 36

Unit cell a=11.0765 b=11.0765 c=6.2581 alpha=90.00 beta=90.00 gamma=120.26
Positions (direct):
Pm1 0.1990 0.8010 0.5000
Pm2 0.8010 0.1990 0.0000
Sm1 0.0403 0.9597 0.7250
Sm2 0.0528 0.4713 0.2518
Sm3 0.2798 0.7202 0.9773
Sm4 0.2911 0.3752 0.0781
Sm5 0.3752 0.2911 0.5781
Sm6 0.4713 0.0528 0.7518
Sm7 0.5287 0.9472 0.2518
Sm8 0.6248 0.7089 0.0781
Sm9 0.7089 0.6248 0.5781
Sm10 0.7202 0.2798 0.4773
Sm11 0.9472 0.5287 0.7518
Sm12 0.9597 0.0403 0.2250
Er1 0.0581 0.2845 0.6591
Er2 0.2845 0.0581 0.1591
Er3 0.3857 0.6143 0.5414
Er4 0.6143 0.3857 0.0414
Er5 0.7155 0.9419 0.6591
Er6 0.9419 0.7155 0.1591

***

Record 11
First-principles (PBE) data for a relaxed Pm5Sm2Er2 crystal, as listed in the Alexandria database.

Computed properties:
Offset from the most stable computed form   0.000 eV/atom
Space group   C2/m, No. 12

Unit cell a=8.0768 b=8.0768 c=8.0839 alpha=107.46 beta=107.46 gamma=36.86
Positions (direct):
Pm1 0.0000 0.0000 0.0000
Pm2 0.1124 0.1124 0.6650
Pm3 0.4429 0.4429 0.6666
Pm4 0.5571 0.5571 0.3334
Pm5 0.8876 0.8876 0.3350
Sm1 0.3331 0.3331 0.0014
Sm2 0.6669 0.6669 0.9986
Er1 0.2223 0.2223 0.3339
Er2 0.7777 0.7777 0.6661

***

Record 12
First-principles (PBE) data for a relaxed PmSmEr2 crystal, as listed in the Alexandria database.

Computed properties:
Offset from the most stable computed form   0.006 eV/atom
Space group   P4/mmm, No. 123

Unit cell a=5.0721 b=5.0721 c=5.0088 alpha=90.00 beta=90.00 gamma=90.00
Positions (direct):
Pm1 0.0000 0.0000 0.0000
Sm1 0.5000 0.5000 0.0000
Er1 0.0000 0.5000 0.5000
Er2 0.5000 0.0000 0.5000

***

Record 13
First-principles (PBE) data for a relaxed PmSm7Er4 crystal, as listed in the Alexandria database.

Computed properties:
Offset from the most stable computed form   0.000 eV/atom
Space group   P-1, No. 2

Unit cell a=6.2728 b=7.2428 c=8.9188 alpha=89.99 beta=76.33 gamma=90.00
Positions (direct):
Pm1 0.0000 0.0000 0.0000
Sm1 0.0000 0.5000 0.0000
Sm2 0.2223 0.9999 0.3347
Sm3 0.2801 0.7484 0.6641
Sm4 0.4998 0.2530 0.9990
Sm5 0.5002 0.7470 0.0010
Sm6 0.7199 0.2516 0.3359
Sm7 0.7777 0.0001 0.6653
Er1 0.2194 0.4999 0.3353
Er2 0.2783 0.2529 0.6658
Er3 0.7217 0.7471 0.3342
Er4 0.7806 0.5001 0.6647

***

Record 14
First-principles (PBE) data for a relaxed PmSm4Er4 crystal, as listed in the Alexandria database.

Computed properties:
Space group   P-1, No. 2

Unit cell a=6.8278 b=8.7061 c=10.6419 alpha=78.36 beta=75.00 gamma=76.45
Positions (direct):
Pm1 0.2394 0.4768 0.2137
Pm2 0.7606 0.5232 0.7863
Sm1 0.0905 0.1632 0.4599
Sm2 0.3824 0.8273 0.6318
Sm3 0.3843 0.8330 0.9635
Sm4 0.3896 0.8295 0.2963
Sm5 0.6104 0.1705 0.7037
Sm6 0.6157 0.1670 0.0365
Sm7 0.6176 0.1727 0.3682
Sm8 0.9095 0.8368 0.5401
Er1 0.0867 0.1664 0.7932
Er2 0.0892 0.1637 0.1223
Er3 0.2400 0.4801 0.8809
Er4 0.2422 0.4807 0.5467
Er5 0.7578 0.5193 0.4533
Er6 0.7600 0.5199 0.1191
Er7 0.9108 0.8363 0.8777
Er8 0.9133 0.8336 0.2068

***

Record 15
First-principles (PBE) data for a relaxed PmSmEr14 crystal, as listed in the Alexandria database.

Computed properties:
Space group   Amm2, No. 38

Unit cell a=11.3809 b=7.0761 c=7.0761 alpha=60.08 beta=90.00 gamma=90.00
Positions (direct):
Pm1 0.0000 0.0000 0.0000
Sm1 0.0000 0.5001 0.5001
Er1 0.0000 0.0002 0.5003
Er2 0.0000 0.5003 0.0002
Er3 0.2518 0.1672 0.1672
Er4 0.2516 0.6672 0.6672
Er5 0.2532 0.1668 0.6666
Er6 0.2532 0.6666 0.1668
Er7 0.5000 0.3335 0.3335
Er8 0.5000 0.3339 0.8338
Er9 0.5000 0.8335 0.8335
Er10 0.5000 0.8338 0.3339
Er11 0.7468 0.1668 0.6666
Er12 0.7468 0.6666 0.1668
Er13 0.7482 0.1672 0.1672
Er14 0.7484 0.6672 0.6672

***

Record 16
First-principles (PBE) data for a relaxed Pm3Sm3Er4 crystal, as listed in the Alexandria database.

Computed properties:
Space group   Amm2, No. 38

Unit cell a=3.6684 b=9.5363 c=9.5363 alpha=89.96 beta=90.00 gamma=90.00
Positions (direct):
Pm1 0.0000 0.0000 0.0000
Pm2 0.0000 0.4998 0.8492
Pm3 0.0000 0.8492 0.4998
Sm1 0.0000 0.3493 0.3493
Sm2 0.5000 0.1749 0.6738
Sm3 0.5000 0.6738 0.1749
Er1 0.5000 0.0521 0.2979
Er2 0.5000 0.2979 0.0521
Er3 0.5000 0.5513 0.5513
Er4 0.5000 0.7976 0.7976

***

Record 17
First-principles (PBE) data for a relaxed Pm12Sm2Er5 crystal, as listed in the Alexandria database.

Computed properties:
Offset from the most stable computed form   0.032 eV/atom
Space group   C2/m, No. 12

Unit cell a=9.4072 b=9.4072 c=8.3636 alpha=90.26 beta=90.26 gamma=60.34
Positions (direct):
Pm1 0.0506 0.0506 0.2111
Pm2 0.1023 0.5289 0.7199
Pm3 0.1130 0.6707 0.1192
Pm4 0.3293 0.8870 0.8808
Pm5 0.3372 0.3372 0.3709
Pm6 0.4711 0.8977 0.2801
Pm7 0.5289 0.1023 0.7199
Pm8 0.6628 0.6628 0.6291
Pm9 0.6707 0.1130 0.1192
Pm10 0.8870 0.3293 0.8808
Pm11 0.8977 0.4711 0.2801
Pm12 0.9494 0.9494 0.7889
Sm1 0.2822 0.7178 0.5000
Sm2 0.7178 0.2822 0.5000
Er1 0.1464 0.1464 0.5634
Er2 0.2503 0.2503 0.0322
Er3 0.5000 0.5000 0.0000
Er4 0.7497 0.7497 0.9678
Er5 0.8536 0.8536 0.4366

***

Record 18
First-principles (PBE) data for a relaxed Pm2Sm4Er3 crystal, as listed in the Alexandria database.

Computed properties:
Offset from the most stable computed form   0.036 eV/atom
Space group   C2/m, No. 12

Unit cell a=9.1387 b=9.1387 c=9.7211 alpha=103.75 beta=103.75 gamma=22.37
Positions (direct):
Pm1 0.1592 0.1592 0.2050
Pm2 0.8408 0.8408 0.7950
Sm1 0.0131 0.0131 0.6813
Sm2 0.3443 0.3443 0.4734
Sm3 0.6557 0.6557 0.5266
Sm4 0.9869 0.9869 0.3187
Er1 0.3292 0.3292 0.1006
Er2 0.5000 0.5000 0.0000
Er3 0.6708 0.6708 0.8994

***

Record 19
First-principles (PBE) data for a relaxed PmSm3Er12 crystal, as listed in the Alexandria database.

Computed properties:
Space group   P4/mmm, No. 123

Unit cell a=5.0005 b=5.0005 c=20.0218 alpha=90.00 beta=90.00 gamma=90.00
Positions (direct):
Pm1 0.0000 0.0000 0.0000
Sm1 0.0000 0.0000 0.2501
Sm2 0.0000 0.0000 0.5000
Sm3 0.0000 0.0000 0.7499
Er1 0.0000 0.5000 0.1253
Er2 0.0000 0.5000 0.3751
Er3 0.0000 0.5000 0.6249
Er4 0.0000 0.5000 0.8747
Er5 0.5000 0.0000 0.1253
Er6 0.5000 0.0000 0.3751
Er7 0.5000 0.0000 0.6249
Er8 0.5000 0.0000 0.8747
Er9 0.5000 0.5000 0.0000
Er10 0.5000 0.5000 0.2503
Er11 0.5000 0.5000 0.5000
Er12 0.5000 0.5000 0.7497

***

Record 20
First-principles (PBE) data for a relaxed Pm2Sm3Er3 crystal, as listed in the Alexandria database.

Computed properties:
Offset from the most stable computed form   0.000 eV/atom
Space group   Immm, No. 71

Unit cell a=10.7498 b=10.7498 c=10.7498 alpha=152.71 beta=152.67 gamma=39.01
Positions (direct):
Pm1 0.2497 0.2497 0.0000
Pm2 0.7503 0.7503 0.0000
Sm1 0.0000 0.0000 0.0000
Sm2 0.3767 0.8767 0.5000
Sm3 0.6233 0.1233 0.5000
Er1 0.1241 0.6241 0.5000
Er2 0.5000 0.5000 0.0000
Er3 0.8759 0.3759 0.5000

***

no.,density (Mg/m³),uncorrected energy (eV per atom),energy of formation from the pure elements (meV per atom)
1,7.97,-4.52,122.7
2,7.83,-4.33,311.4
3,7.41,-4.70,15.2
4,6.60,-4.22,493.2
5,7.73,-4.46,213.7
6,7.58,-4.61,77.9
7,7.48,-4.63,69.1
8,8.26,-4.46,173.5
9,7.81,-4.45,193.8
10,7.76,-4.53,148.0
11,7.53,-4.68,17.1
12,8.12,-4.63,22.1
13,7.87,-4.67,2.1
14,8.00,-4.62,37.9
15,8.87,-4.58,8.9
16,7.74,-4.58,91.1
17,7.43,-4.57,132.6
18,7.72,-4.59,87.0
19,8.63,-4.58,22.4
20,7.91,-4.65,19.4